{
  "formula": "Th6RhAu2",
  "functional": "PBE",
  "state": "optimized geometry",
  "cell": [[-2.083, -6.021, -0.616], [6.628, -2.622, 3.216], [-4.240, 0.779, 9.373]],
  "species": ["Th", "Th", "Th", "Th", "Th", "Au", "Rh", "Th", "Au", "Rh", "Au", "Th", "Th", "Th", "Th", "Th", "Au", "Th"],
  "frac_coords": [[0.373, 0.804, 0.442], [0.127, 0.304, 0.058], [0.645, 0.469, 0.258], [0.138, 0.338, 0.444], [0.355, 0.531, 0.742], [0.410, 0.121, 0.261], [0.000, 0.000, 0.500], [0.862, 0.662, 0.556], [0.590, 0.879, 0.739], [0.500, 0.500, 0.000], [0.910, 0.379, 0.761], [0.627, 0.196, 0.558], [0.638, 0.162, 0.944], [0.855, 0.969, 0.242], [0.873, 0.696, 0.942], [0.145, 0.031, 0.758], [0.090, 0.621, 0.239], [0.362, 0.838, 0.056]],
  "space_group": "No. 14",
  "e_form_ev_per_atom": -0.395,
  "crystal_system": "monoclinic"
}